No. 1
Entry from Alexandria: a relaxed ScBeAu crystal (PBE).

a = 4.2170 Å, b = 6.9906 Å, c = 6.6119 Å
α = 90.00°, β = 90.00°, γ = 90.00°
With the nearest neighbours (Å) after each atom.
Fractional coordinates of all 12 atoms:
1 Sc 0.2500 0.7996 0.4988  6 Au 2.83-3.06, 6 Be 2.87-3.12
2 Sc 0.7500 0.2996 0.0012  6 Au 2.83-3.06, 6 Be 2.87-3.12
3 Sc 0.2500 0.7004 0.9988  6 Au 2.83-3.06, 6 Be 2.87-3.12
4 Sc 0.7500 0.2004 0.5012  6 Au 2.83-3.06, 6 Be 2.87-3.12
5 Au 0.7500 0.9069 0.2064  4 Be 2.43-2.55
6 Au 0.7500 0.5931 0.7064  4 Be 2.43-2.55
7 Au 0.2500 0.0931 0.7936  4 Be 2.43-2.55
8 Au 0.2500 0.4069 0.2936  4 Be 2.43-2.55
9 Be 0.7500 0.5769 0.3208  4 Au 2.43-2.55
10 Be 0.7500 0.9231 0.8208  4 Au 2.43-2.55
11 Be 0.2500 0.0769 0.1792  4 Au 2.43-2.55
12 Be 0.2500 0.4231 0.6792  4 Au 2.43-2.55

Properties
crystal system	orthorhombic
ρ	8.551	g/cm3
D(E_F)	0.712	states/eV per atom
DFT formation energy	-529	meV/atom
space group	Pnma (62)



No. 2
Entry from Alexandria: a relaxed ScBe3Au crystal (PBE).

a = 4.2974 Å, b = 4.2974 Å, c = 4.2974 Å
α = 90.00°, β = 90.00°, γ = 90.00°
With the nearest neighbours (Å) after each atom.
Fractional coordinates of all 5 atoms:
1 Sc 0.5000 0.5000 0.5000  12 Be 3.04
2 Be 0.0000 0.5000 0.0000  2 Au 2.15
3 Be 0.0000 0.0000 0.5000  2 Au 2.15
4 Be 0.5000 0.0000 0.0000  2 Au 2.15
5 Au 0.0000 0.0000 0.0000  6 Be 2.15

Properties
crystal system	cubic
ρ	5.628	g/cm3
D(E_F)	0.252	states/eV per atom
DFT formation energy	218	meV/atom
space group	Pm-3m (221)



No. 3
Entry from Alexandria: a relaxed ScBeAu2 crystal (PBE).

a = 3.9356 Å, b = 3.5248 Å, c = 5.2962 Å
α = 70.81°, β = 90.00°, γ = 90.00°
With the nearest neighbours (Å) after each atom.
Fractional coordinates of all 4 atoms:
1 Sc 0.5000 0.7029 0.7208  7 Au 2.80-2.96, 4 Be 2.85
2 Be 0.0000 0.3067 0.5073  3 Au 2.26-2.41
3 Au 0.0000 0.0691 0.9885  1 Be 2.41
4 Au 0.5000 0.4214 0.2835  2 Be 2.26

Properties
crystal system	monoclinic
ρ	10.719	g/cm3
D(E_F)	0.360	states/eV per atom
DFT formation energy	-396	meV/atom
space group	Pm (6)